Record 1
A geometry-optimized Te2Ir structure, computed with PBE.

For the total DFT energy (no corrections), the calculation gives -20.254 eV for the cell shown. Its total magnetization is 0.01 μB per formula unit. As for the space-group type: Fd-3m, No. 227. The crystal system is cubic.

abc: 5.9233 5.9233 5.9233
angles: 60.00 60.00 60.00
Element x y z (fractional)
Te 0.0000 0.0000 0.0000
Te 0.0000 0.0000 0.5000
Te 0.0000 0.5000 0.0000
Te 0.5000 0.0000 0.0000
Ir 0.3750 0.3750 0.3750
Ir 0.6250 0.6250 0.6250

=====

Record 2
A geometry-optimized Te2Ir7 structure, computed with PBE.

For the total DFT energy (no corrections), the calculation gives -64.616 eV for the cell shown. Its total magnetization is 0.01 μB per formula unit. As for the space-group type: P-3m1, No. 164. The crystal system is trigonal.

abc: 2.8571 2.8571 31.7867
angles: 90.00 90.00 120.00
Element x y z (fractional)
Te 0.3333 0.6667 0.2226
Te 0.6667 0.3333 0.7774
Ir 0.0000 0.0000 0.2944
Ir 0.0000 0.0000 0.5000
Ir 0.0000 0.0000 0.7056
Ir 0.3333 0.6667 0.4315
Ir 0.3333 0.6667 0.6364
Ir 0.6667 0.3333 0.3636
Ir 0.6667 0.3333 0.5685

=====

Record 3
A geometry-optimized Te2Ir structure, computed with PBE.

For the total DFT energy (no corrections), the calculation gives -63.110 eV for the cell shown. Its total magnetization is 0.00 μB per formula unit. As for the space-group type: Pbca, No. 61. The crystal system is orthorhombic.

abc: 6.4254 6.4498 6.6005
angles: 90.00 90.00 90.00
Element x y z (fractional)
Te 0.1319 0.1323 0.1347
Te 0.1319 0.3677 0.6347
Te 0.3681 0.6323 0.1347
Te 0.3681 0.8677 0.6347
Te 0.6319 0.1323 0.3653
Te 0.6319 0.3677 0.8653
Te 0.8681 0.6323 0.3653
Te 0.8681 0.8677 0.8653
Ir 0.0000 0.0000 0.5000
Ir 0.0000 0.5000 0.0000
Ir 0.5000 0.0000 0.0000
Ir 0.5000 0.5000 0.5000

=====

Record 4
A geometry-optimized Te3Ir2 structure, computed with PBE.

For the total DFT energy (no corrections), the calculation gives -55.070 eV for the cell shown. Its total magnetization is 0.00 μB per formula unit. As for the space-group type: Cc, No. 9. The crystal system is monoclinic.

abc: 6.9996 6.9996 7.9019
angles: 123.97 123.97 56.06
Element x y z (fractional)
Te 0.0415 0.9585 0.5000
Te 0.3006 0.4232 0.1047
Te 0.4232 0.3006 0.6047
Te 0.6256 0.7820 0.9743
Te 0.7820 0.6256 0.4743
Te 0.9585 0.0415 0.0000
Ir 0.3161 0.9016 0.3305
Ir 0.4706 0.5908 0.5391
Ir 0.5908 0.4706 0.0391
Ir 0.9016 0.3161 0.8305